Entry from Alexandria: crystalline MoPt at its relaxed geometry (PBE).

Properties
As for the calculated total energy: -8.651 eV per atom. As for the density of states at the Fermi level: 3.95 states/eV per cell. For the magnetic moment, the calculation gives 0.00 μB per formula unit.

a = 2.749 Å, b = 2.749 Å, c = 8.312 Å
α = 90.00°, β = 90.00°, γ = 90.00°
Space group P4/nmm (No. 129, origin choice 2)
Inequivalent atoms, fractional coordinates:
Mo: 0.250 0.250 0.134 [2 per cell]
Pt: 0.250 0.250 0.634 [2 per cell]